Record 1
Entry from Alexandria: an optimized crystal structure of Mg3TlN (PBE-GGA).

a = 5.319 Å, b = 5.319 Å, c = 5.319 Å
α = 90.00°, β = 90.00°, γ = 90.00°
Atoms (fractional coordinates):
Mg  0.000  0.000  0.500
Mg  0.000  0.500  0.000
Mg  0.500  0.000  0.000
Tl  0.000  0.000  0.000
N  0.500  0.500  0.500

Computed properties:
The calculation puts the relative energy among the computed polymorphs at 1495 meV per atom. The total magnetization comes out at 2.00 μB per cell. The value obtained for the energy relative to the elements, uncorrected is 1177.5 meV per atom. Its space group is No. 221.


Record 2
Entry from Alexandria: an optimized crystal structure of Mg3TlN (PBE-GGA).

a = 4.409 Å, b = 4.409 Å, c = 4.409 Å
α = 90.00°, β = 90.00°, γ = 90.00°
Atoms (fractional coordinates):
Mg  0.000  0.000  0.500
Mg  0.000  0.500  0.000
Mg  0.500  0.000  0.000
Tl  0.500  0.500  0.500
N  0.000  0.000  0.000

Computed properties:
The calculation puts the relative energy among the computed polymorphs at 0 meV per atom. The total magnetization comes out at 0.00 μB per cell. The value obtained for the energy relative to the elements, uncorrected is -317.6 meV per atom. Its space group is No. 221.


Record 3
Entry from Alexandria: an optimized crystal structure of Mg2TlN (PBE-GGA).

a = 6.227 Å, b = 6.227 Å, c = 6.227 Å
α = 119.49°, β = 119.49°, γ = 90.88°
Atoms (fractional coordinates):
Mg  0.375  0.209  0.334
Mg  0.791  0.125  0.166
Mg  0.875  0.041  0.666
Mg  0.959  0.625  0.834
Tl  0.250  0.750  0.500
Tl  0.500  0.500  0.000
N  0.000  0.000  0.000
N  0.750  0.250  0.500

Computed properties:
The calculation puts the relative energy among the computed polymorphs at 0 meV per atom. The total magnetization comes out at 0.00 μB per cell. The value obtained for the energy relative to the elements, uncorrected is -235.0 meV per atom. Its space group is No. 122.


Record 4
Entry from Alexandria: an optimized crystal structure of Tm3MgN (PBE-GGA).

a = 4.789 Å, b = 4.789 Å, c = 4.789 Å
α = 90.00°, β = 90.00°, γ = 90.00°
Atoms (fractional coordinates):
Tm  0.000  0.000  0.500
Tm  0.000  0.500  0.000
Tm  0.500  0.000  0.000
Mg  0.500  0.500  0.500
N  0.000  0.000  0.000

Computed properties:
The total magnetization comes out at 0.00 μB per cell. The value obtained for the energy relative to the elements, uncorrected is -731.1 meV per atom. Its space group is No. 221.


What is the formula in the third record? Mg2TlN


Which of these has the highest energy relative to the elements, uncorrected? number 1